# 1
# LiCa2MgCl | Alexandria | PBE | relaxed
data_LiCa2MgCl
_chemical_formula_sum 'Li1 Ca2 Mg1 Cl1'
_cell_length_a 5.637
_cell_length_b 5.637
_cell_length_c 4.551
_cell_angle_alpha 90.00
_cell_angle_beta 90.00
_cell_angle_gamma 90.00
_symmetry_space_group_name_H-M 'P 4/m m m'
_symmetry_Int_Tables_number 123
_symmetry_space_group_name_Hall '-P 4 2'
loop_
_atom_site_label
_atom_site_type_symbol
_atom_site_fract_x
_atom_site_fract_y
_atom_site_fract_z
Li1 Li 0.000 0.000 0.000
Ca1 Ca 0.000 0.500 0.500
Mg1 Mg 0.500 0.500 0.000
Cl1 Cl 0.000 0.000 0.500
# E_form (uncorrected)	-593.7	meV/atom
# VASP energy	-2.465	eV/atom

# 2
# Sr2AgOsC | Alexandria | PBE | relaxed
data_Sr2AgOsC
_chemical_formula_sum 'Sr2 Ag1 Os1 C1'
_cell_length_a 5.529
_cell_length_b 5.529
_cell_length_c 3.906
_cell_angle_alpha 90.00
_cell_angle_beta 90.00
_cell_angle_gamma 90.00
_symmetry_space_group_name_H-M 'P 4/m m m'
_symmetry_Int_Tables_number 123
_symmetry_space_group_name_Hall '-P 4 2'
loop_
_atom_site_label
_atom_site_type_symbol
_atom_site_fract_x
_atom_site_fract_y
_atom_site_fract_z
Sr1 Sr 0.000 0.500 0.000
Ag1 Ag 0.000 0.000 0.500
Os1 Os 0.500 0.500 0.500
C1 C 0.500 0.500 0.000
# VASP energy	-5.256	eV/atom
# energy relative to the elements	0.077	eV per atom
# distance to the lowest polymorph of the same formula	0.00	eV/f.u.

# 3
# TaRuS2 | Alexandria | PBE | relaxed
data_TaRuS2
_chemical_formula_sum 'Ta4 Ru4 S8'
_cell_length_a 6.082
_cell_length_b 6.082
_cell_length_c 6.082
_cell_angle_alpha 90.00
_cell_angle_beta 90.00
_cell_angle_gamma 90.00
_symmetry_space_group_name_H-M 'F m -3 m'
_symmetry_Int_Tables_number 225
_symmetry_space_group_name_Hall '-F 4 2 3'
loop_
_atom_site_label
_atom_site_type_symbol
_atom_site_fract_x
_atom_site_fract_y
_atom_site_fract_z
Ta1 Ta 0.000 0.000 0.000
Ru1 Ru 0.000 0.000 0.500
S1 S 0.250 0.250 0.250
# E_form (uncorrected)	-214.9	meV/atom
# VASP energy	-7.561	eV/atom
# distance to the lowest polymorph of the same formula	0.54	eV/f.u.

# 4
# In2GaPt | Alexandria | PBE | relaxed
data_In2GaPt
_chemical_formula_sum 'In6 Ga3 Pt3'
_cell_length_a 3.2510
_cell_length_b 3.2510
_cell_length_c 28.8623
_cell_angle_alpha 90.00
_cell_angle_beta 90.00
_cell_angle_gamma 120.00
_symmetry_space_group_name_H-M 'R -3 m'
_symmetry_Int_Tables_number 166
_symmetry_space_group_name_Hall '-R 3 2"'
loop_
_atom_site_label
_atom_site_type_symbol
_atom_site_fract_x
_atom_site_fract_y
_atom_site_fract_z
In1 In 0.0000 0.0000 0.0951
Ga1 Ga 0.0000 0.0000 0.0000
Pt1 Pt 0.0000 0.0000 0.5000
# VASP energy	-3.709	eV/atom
# energy relative to the elements	-0.073	eV per atom

# 5
# BaCuAsBr2 | Alexandria | PBE | relaxed
data_BaCuAsBr2
_chemical_formula_sum 'Ba1 Cu1 As1 Br2'
_cell_length_a 5.306
_cell_length_b 5.306
_cell_length_c 4.879
_cell_angle_alpha 90.00
_cell_angle_beta 90.00
_cell_angle_gamma 90.00
_symmetry_space_group_name_H-M 'P 4/m m m'
_symmetry_Int_Tables_number 123
_symmetry_space_group_name_Hall '-P 4 2'
loop_
_atom_site_label
_atom_site_type_symbol
_atom_site_fract_x
_atom_site_fract_y
_atom_site_fract_z
Ba1 Ba 0.000 0.000 0.000
Cu1 Cu 0.500 0.500 0.500
As1 As 0.500 0.500 0.000
Br1 Br 0.000 0.500 0.500
# E_form (uncorrected)	-713.0	meV/atom
# VASP energy	-3.516	eV/atom
# distance to the lowest polymorph of the same formula	0.00	eV/f.u.

# 6
# LaTbTmSc3 | Alexandria | PBE | relaxed
data_LaTbTmSc3
_chemical_formula_sum 'La2 Tb2 Tm2 Sc6'
_cell_length_a 6.492
_cell_length_b 6.584
_cell_length_c 8.440
_cell_angle_alpha 77.32
_cell_angle_beta 78.46
_cell_angle_gamma 83.55
_symmetry_space_group_name_H-M 'P -1'
_symmetry_Int_Tables_number 2
_symmetry_space_group_name_Hall '-P 1'
loop_
_atom_site_label
_atom_site_type_symbol
_atom_site_fract_x
_atom_site_fract_y
_atom_site_fract_z
La1 La 0.019 0.276 0.158
Tb1 Tb 0.486 0.609 0.811
Tm1 Tm 0.273 0.951 0.479
Sc1 Sc 0.138 0.772 0.185
Sc2 Sc 0.244 0.439 0.541
Sc3 Sc 0.372 0.099 0.854
# VASP energy	-5.408	eV/atom
# energy relative to the elements	0.096	eV per atom

# 7
# SrPtW2 | Alexandria | PBE | relaxed
data_SrPtW2
_chemical_formula_sum 'Sr2 Pt2 W4'
_cell_length_a 2.771
_cell_length_b 5.001
_cell_length_c 11.456
_cell_angle_alpha 90.00
_cell_angle_beta 90.00
_cell_angle_gamma 90.00
_symmetry_space_group_name_H-M 'I m m m'
_symmetry_Int_Tables_number 71
_symmetry_space_group_name_Hall '-I 2 2'
loop_
_atom_site_label
_atom_site_type_symbol
_atom_site_fract_x
_atom_site_fract_y
_atom_site_fract_z
Sr1 Sr 0.000 0.000 0.000
Pt1 Pt 0.000 0.000 0.500
W1 W 0.000 0.500 0.212
# VASP energy	-7.968	eV/atom
# energy relative to the elements	0.439	eV per atom
# distance to the lowest polymorph of the same formula	0.45	eV/f.u.

# 8
# MgOs2Ru | Alexandria | PBE | relaxed
data_MgOs2Ru
_chemical_formula_sum 'Mg2 Os4 Ru2'
_cell_length_a 3.762
_cell_length_b 3.762
_cell_length_c 8.276
_cell_angle_alpha 90.00
_cell_angle_beta 90.00
_cell_angle_gamma 90.00
_symmetry_space_group_name_H-M 'I 4/m m m'
_symmetry_Int_Tables_number 139
_symmetry_space_group_name_Hall '-I 4 2'
loop_
_atom_site_label
_atom_site_type_symbol
_atom_site_fract_x
_atom_site_fract_y
_atom_site_fract_z
Mg1 Mg 0.000 0.000 0.000
Os1 Os 0.000 0.500 0.250
Ru1 Ru 0.000 0.000 0.500
# VASP energy	-8.032	eV/atom
# energy relative to the elements	0.301	eV per atom